No. 1
Compound: ReTc2Hg
Source: Alexandria
Functional: PBE-GGA
Structure: relaxed

```
ReTc2Hg
1.0
1.413 0.816 9.325
-1.413 0.816 9.325
0.000 -1.632 9.325
Re Tc Hg
1 2 1
Direct
0.000 0.000 0.000 Re
0.256 0.256 0.256 Tc
0.744 0.744 0.744 Tc
0.500 0.500 0.500 Hg
```

Properties
Energy of formation, kJ/mol of formula units: 119
Symmetry: R-3m, No. 166
D(E_F), states/eV per cell: 4.22
Calculated volume, Å³/f.u.: 65

=====

No. 2
Compound: LiSn2Hg8
Source: Alexandria
Functional: PBE-GGA
Structure: relaxed

```
LiSn2Hg8
1.0
5.288 -5.218 0.000
5.288 5.218 0.000
-0.990 0.000 5.665
Li Sn Hg
1 2 8
Direct
0.000 0.000 0.000 Li
0.148 0.148 0.567 Sn
0.852 0.852 0.433 Sn
0.157 0.668 0.199 Hg
0.265 0.265 0.134 Hg
0.332 0.843 0.801 Hg
0.432 0.432 0.716 Hg
0.568 0.568 0.284 Hg
0.668 0.157 0.199 Hg
0.735 0.735 0.866 Hg
0.843 0.332 0.801 Hg
```

Properties
Energy of formation, kJ/mol of formula units: 22
Symmetry: C2/m, No. 12
D(E_F), states/eV per cell: 4.58
Calculated volume, Å³/f.u.: 313

=====

No. 3
Compound: MgAlOsPb2
Source: Alexandria
Functional: PBE-GGA
Structure: relaxed

```
MgAlOsPb2
1.0
5.306 0.000 0.000
0.000 5.306 0.000
0.000 0.000 4.982
Mg Al Os Pb
1 1 1 2
Direct
0.000 0.000 0.000 Mg
0.000 0.000 0.500 Al
0.500 0.500 0.000 Os
0.000 0.500 0.500 Pb
0.500 0.000 0.500 Pb
```

Properties
Energy of formation, kJ/mol of formula units: 699
Symmetry: P4/mmm, No. 123
D(E_F), states/eV per cell: 6.05
Calculated volume, Å³/f.u.: 140

=====

No. 4
Compound: TmPuO4F
Source: Alexandria
Functional: PBE-GGA
Structure: relaxed

```
TmPuO4F
1.0
5.459 -2.940 0.000
5.459 2.940 0.000
-0.536 0.000 7.341
Tm Pu O F
2 2 8 2
Direct
0.162 0.162 0.489 Tm
0.838 0.838 0.511 Tm
0.345 0.345 0.890 Pu
0.655 0.655 0.110 Pu
0.057 0.503 0.681 O
0.194 0.194 0.982 O
0.497 0.497 0.181 O
0.497 0.943 0.319 O
0.503 0.057 0.681 O
0.503 0.503 0.819 O
0.806 0.806 0.018 O
0.943 0.497 0.319 O
0.015 0.015 0.670 F
0.985 0.985 0.330 F
```

Properties
Symmetry: C2/m, No. 12
D(E_F), states/eV per cell: 11.10
Calculated volume, Å³/f.u.: 118
Uncorrected formation energy, eV per atom: -2.92

=====

No. 5
Compound: ScTeCl2
Source: Alexandria
Functional: PBE-GGA
Structure: relaxed

```
ScTeCl2
1.0
3.502 0.000 0.000
0.000 4.718 0.000
0.000 0.000 5.445
Sc Te Cl
1 1 2
Direct
0.000 0.000 0.000 Sc
0.500 0.000 0.500 Te
0.000 0.500 0.500 Cl
0.500 0.500 0.000 Cl
```

Properties
Symmetry: Pmmm, No. 47
D(E_F), states/eV per cell: 1.55
Calculated volume, Å³/f.u.: 90
Uncorrected formation energy, eV per atom: -0.70

=====

No. 6
Compound: Y2OsAu
Source: Alexandria
Functional: PBE-GGA
Structure: relaxed

```
Y2OsAu
1.0
5.358 -1.713 0.000
5.358 1.713 0.000
-1.331 0.000 4.800
Y Os Au
2 1 1
Direct
0.000 0.000 0.000 Y
0.210 0.210 0.634 Y
0.476 0.476 0.499 Os
0.759 0.759 0.177 Au
```

Properties
Energy of formation, kJ/mol of formula units: -96
Symmetry: Cm, No. 8
D(E_F), states/eV per cell: 3.16
Calculated volume, Å³/f.u.: 88